(1)
SbBr3, optimized geometry, DFT PBE; crystal system = tetragonal; theoretical density = 4.14 g/cm³; space group = No. 122; density of states at the Fermi level = 0.000 states/eV per atom; raw formation energy = -0.419 eV/atom
1.0
-3.3831 -8.4864 4.4208
8.5573 -4.7814 -2.6301
3.7753 -5.8429 3.3231
Br Sb
6 2
Direct
0.3750 0.2378 0.7500
0.2500 0.7500 0.5000
0.8750 0.0122 0.7500
0.5000 0.5000 0.0000
0.7622 0.1250 0.2500
0.9878 0.6250 0.2500
0.7500 0.2500 0.5000
0.0000 0.0000 0.0000

---

(2)
SbBr, optimized geometry, DFT PBE; offset from the most stable computed form = 0.1312 eV per atom; crystal system = hexagonal; theoretical density = 3.84 g/cm³; space group = No. 176; density of states at the Fermi level = 0.252 states/eV per atom; raw formation energy = -0.184 eV/atom
1.0
-1.0349 11.7572 -1.3926
-6.3681 -5.5793 8.3404
3.1537 0.6112 2.8168
Br Sb
6 6
Direct
0.4642 0.3064 0.2500
0.5358 0.6936 0.7500
0.1577 0.4642 0.7500
0.8423 0.5358 0.2500
0.6936 0.1577 0.2500
0.3064 0.8423 0.7500
0.7806 0.8543 0.7500
0.2194 0.1457 0.2500
0.8543 0.0737 0.2500
0.9263 0.7806 0.2500
0.0737 0.2194 0.7500
0.1457 0.9263 0.7500

---

(3)
SbBr, optimized geometry, DFT PBE; offset from the most stable computed form = 0.0156 eV per atom; crystal system = tetragonal; theoretical density = 4.16 g/cm³; space group = No. 129; density of states at the Fermi level = 0.152 states/eV per atom; raw formation energy = -0.299 eV/atom
1.0
4.4051 0.0000 0.0000
0.0000 4.4051 0.0000
0.0000 0.0000 8.2929
Sb Br
2 2
Direct
0.2500 0.2500 0.5002
0.7500 0.7500 0.4998
0.7500 0.7500 0.8083
0.2500 0.2500 0.1917